A relaxed structure of ScSiO2, computed with GGA-PBE.

```
ScSiO2
1.0
4.550 3.197 3.021
5.617 0.292 2.901
5.932 2.160 0.451
Sc Si O
1 1 2
Direct
0.500 0.500 0.500
0.000 0.000 0.000
0.894 0.894 0.894
0.106 0.106 0.106
```

Calculated values
E: -7.701 eV per atom
Calculated density: 3.46 g/cm3
Calculated volume: 50.4 Å³ per cell
SG: R-3m (166)



A relaxed structure of Zn4C5, computed with GGA-PBE.

```
Zn4C5
1.0
6.061 0.000 0.000
-3.031 5.249 0.000
0.000 0.000 6.161
Zn C
8 10
Direct
0.000 0.000 0.000
0.000 0.000 0.500
0.000 0.399 0.250
0.601 0.601 0.250
0.399 0.000 0.250
0.000 0.601 0.750
0.399 0.399 0.750
0.601 0.000 0.750
0.000 0.731 0.250
0.269 0.269 0.250
0.731 0.000 0.250
0.000 0.269 0.750
0.731 0.731 0.750
0.269 0.000 0.750
0.667 0.333 0.000
0.333 0.667 0.500
0.333 0.667 0.000
0.667 0.333 0.500
```

Calculated values
E: -3.536 eV per atom
Calculated density: 5.45 g/cm3
Calculated volume: 196.0 Å³ per cell
SG: P6_3/mcm (193)
Energy relative to the elements: 2.16 eV per atom